Model 1:
4
Lattice="2.697 0.000 0.000 0.000 2.697 0.000 0.000 0.000 6.907" Properties=species:S:1:pos:R:3 comment="Mn2CuW | Alexandria | PBE | optimized geometry" sg="P4mm, No. 99" pbc="T T T"
Cu 1.348 1.348 5.329
Mn 0.000 0.000 0.166
Mn 1.348 1.348 1.430
W 0.000 0.000 3.435

---

Model 2:
4
Lattice="-0.864 -2.281 3.417 1.895 -3.699 0.588 2.881 -0.425 3.024" Properties=species:S:1:pos:R:3 comment="Mn2CuW | Alexandria | PBE | optimized geometry" sg="F-43m, No. 216" pbc="T T T"
Cu 1.956 -3.203 3.514
Mn 0.000 0.000 0.000
Mn 0.978 -1.602 1.757
W 2.935 -4.805 5.271

---

Model 3:
4
Lattice="-0.826 -5.185 -7.085 -2.846 -6.207 -5.580 -3.281 -4.017 -7.131" Properties=species:S:1:pos:R:3 comment="Mn2CuW | Alexandria | PBE | optimized geometry" sg="R-3m, No. 166" pbc="T T T"
Cu -5.214 -11.557 -14.847
Mn -0.022 -0.049 -0.063
Mn -3.454 -7.655 -9.835
W -1.738 -3.852 -4.949

---

The least stable of them is model 3.

---

Model 1:
4
Lattice="-7.711 -3.989 0.465 -6.972 -4.829 -1.912 -6.178 -6.112 0.240" Properties=species:S:1:pos:R:3 comment="Mn2CuW | Alexandria | PBE | optimized geometry" sg="R3m, No. 160" pbc="T T T"
Cu -15.544 -11.125 -0.899
Mn -20.766 -14.862 -1.201
Mn -5.368 -3.842 -0.310
W -10.473 -7.495 -0.606

---

Model 2:
4
Lattice="4.201 0.000 0.000 0.000 2.570 -0.006 0.000 0.514 4.763" Properties=species:S:1:pos:R:3 comment="Mn2CuW | Alexandria | PBE | optimized geometry" sg="P2/m, No. 10" pbc="T T T"
Cu 2.100 2.313 3.568
Mn 0.000 0.542 4.730
Mn 0.000 1.514 2.412
W 2.100 0.771 1.189

---

Model 3:
4
Lattice="3.067 0.000 0.000 0.000 3.068 0.000 0.000 0.000 5.523" Properties=species:S:1:pos:R:3 comment="Mn2CuW | Alexandria | PBE | optimized geometry" sg="P4/mmm, No. 123" pbc="T T T"
Cu 1.534 1.534 4.142
Mn 0.000 0.000 5.501
Mn 0.000 0.000 2.784
W 1.534 1.534 1.381

---

Model 4:
4
Lattice="3.907 0.000 0.000 0.000 3.908 0.000 0.000 0.000 3.341" Properties=species:S:1:pos:R:3 comment="Mn2CuW | Alexandria | PBE | optimized geometry" sg="P4/mmm, No. 123" pbc="T T T"
Cu 0.000 1.954 1.670
Mn 0.000 0.000 0.000
Mn 1.953 1.954 0.000
W 1.953 0.000 1.670

---

The least stable of them is model 1.

---

Model 1:
4
Lattice="-1.516 -2.010 -3.710 1.047 -1.546 -4.077 0.959 -4.348 1.187" Properties=species:S:1:pos:R:3 comment="Mn2CuW | Alexandria | PBE | optimized geometry" sg="C2/m, No. 12" pbc="T T T"
Cu 0.122 -1.976 -1.650
Mn -0.453 -3.596 -7.727
Mn 0.229 -3.912 -3.360
W 0.367 -5.928 -4.950

---

Model 2:
4
Lattice="2.636 0.000 0.000 0.000 3.724 0.000 0.000 0.000 5.270" Properties=species:S:1:pos:R:3 comment="Mn2CuW | Alexandria | PBE | optimized geometry" sg="Pmm2, No. 25" pbc="T T T"
Cu 1.318 1.862 4.008
Mn 0.000 0.000 0.034
Mn 1.318 1.862 1.244
W 0.000 0.000 2.618

---

The least stable of them is model 1.